K3TiCl6, optimized geometry, DFT PBE-GGA; formation energy without anion corrections = -18.26 eV/f.u.
1.0
7.330 0.000 0.000
0.000 7.716 0.000
-7.270 0.000 10.537
K Ti Cl
6 2 12
Cartesian
0.000 0.000 0.000
-3.635 3.858 5.268
-3.431 0.561 7.909
0.203 3.297 2.641
-0.143 4.420 7.896
3.492 7.155 2.628
0.030 0.000 5.268
3.665 3.858 0.000
-0.791 0.289 2.982
-4.425 3.569 8.250
1.682 5.183 0.550
-1.953 6.391 5.819
2.488 1.803 0.659
-1.147 2.055 5.928
1.207 5.661 4.609
-2.428 5.914 9.878
2.013 1.325 4.718
-1.622 2.533 9.987
4.485 4.147 2.287
0.851 7.428 7.555